Below is an optimized crystal structure of Rb2MoBrF6, with properties calculated at the PBE with a Hubbard U level.

Summary:
Final energy   -44.7 eV/cell

Cell and atoms, written as POSCAR:
```
Rb2MoBrF6
1.0
-3.5689 3.5689 4.6283
3.5689 -3.5689 4.6283
3.5689 3.5689 -4.6283
Rb Mo Br F
2 1 1 6
direct
0.2500 0.7500 0.5000
0.7500 0.2500 0.5000
0.0000 0.0000 0.0000
0.5000 0.5000 0.0000
0.1956 0.1956 0.3912
0.1956 0.8044 0.0000
0.2208 0.2208 0.0000
0.7792 0.7792 0.0000
0.8044 0.1956 0.0000
0.8044 0.8044 0.6088
```